Material: TcIrBr2
Method: DFT, PBE
State: optimized geometry

Cell lengths 2.9878, 4.4340, 5.5918 Å; angles 90.00, 90.00, 90.00 degrees
Fractional coordinates of all 4 atoms:
Tc 0.0000 0.0000 0.0000
Ir 0.5000 0.0000 0.5000
Br 0.0000 0.5000 0.5000
Br 0.5000 0.5000 0.0000

## Properties
total magnetic moment: 2.1 μB per formula unit
ΔE to the lowest computed polymorph: 898 meV per atom
E_form (uncorrected): 1.064 eV/atom
ρ: 10.088 g/cm3